Below is an optimized crystal structure of CaCdSi2S6, with properties calculated at the GGA-PBE level.

abc: 12.5187 12.1701 6.4127
angles: 90.00 106.39 90.00
Space group C2/c (No. 15)
Symmetry-distinct sites (fractional):
Ca (0.0000, 0.1098, 0.2500) x4
Cd (0.0000, 0.2847, 0.7500) x4
Si (0.2053, 0.4226, 0.2457) x8
S (0.1199, 0.0836, 0.6802) x8
S (0.1348, 0.2697, 0.1165) x8
S (0.1379, 0.4425, 0.5246) x8

Values from the calculation:
Its formation energy without anion corrections is -873.7 meV/atom. The final energy comes out at -4.7265 eV/atom.